Record 1
Computed, not measured: a geometry-optimized Th2SiGe3 structure at the PBE level of DFT.

Results
Space-group type: Pmm2 (25)
Uncorrected energy, eV/f.u.: -37.29

abc: 4.102 4.086 8.067
angles: 90.00 90.00 90.00
Sites, in units of the cell vectors:
Th1 0.500 0.000 0.991
Th2 0.000 0.000 0.510
Si1 0.500 0.500 0.665
Ge1 0.000 0.500 0.154
Ge2 0.000 0.500 0.827
Ge3 0.500 0.500 0.352


Record 2
Computed, not measured: a geometry-optimized Th8SiGe5 structure at the PBE level of DFT.

Results
Space-group type: I-4 (82)
Uncorrected energy, eV/f.u.: -97.24

abc: 7.875 7.875 7.875
angles: 109.49 109.44 109.49
Sites, in units of the cell vectors:
Th1 0.125 0.746 0.008
Th2 0.992 0.118 0.739
Th3 0.763 0.252 0.377
Th4 0.623 0.386 0.875
Th5 0.489 0.614 0.237
Th6 0.621 0.882 0.875
Th7 0.261 0.254 0.379
Th8 0.125 0.748 0.511
Si1 0.250 0.500 0.750
Ge1 0.998 0.373 0.123
Ge2 0.877 0.875 0.250
Ge3 0.750 0.627 0.625
Ge4 0.500 0.000 0.500
Ge5 0.375 0.125 0.002


Record 3
Computed, not measured: a geometry-optimized Th4SiGe2 structure at the PBE level of DFT.

Results
E above lowest polymorph, meV/atom: 8
Space-group type: C2/m (12)
Uncorrected energy, eV/f.u.: -47.69

abc: 4.273 7.279 7.868
angles: 116.87 105.76 90.00
Sites, in units of the cell vectors:
Th1 0.876 0.216 0.753
Th2 0.124 0.784 0.247
Th3 0.619 0.296 0.239
Th4 0.381 0.704 0.761
Si1 0.000 0.000 0.000
Ge1 0.753 0.757 0.506
Ge2 0.247 0.243 0.494


Record 4
Computed, not measured: a geometry-optimized Th4SiGe2 structure at the PBE level of DFT.

Results
E above lowest polymorph, meV/atom: 0
Space-group type: Cmcm (63)
Uncorrected energy, eV/f.u.: -47.75

abc: 4.343 6.223 15.609
angles: 90.00 90.00 110.42
Sites, in units of the cell vectors:
Th1 0.810 0.621 0.126
Th2 0.810 0.621 0.374
Th3 0.190 0.379 0.874
Th4 0.190 0.379 0.626
Th5 0.905 0.811 0.750
Th6 0.095 0.189 0.250
Th7 0.500 0.000 0.000
Th8 0.500 0.000 0.500
Si1 0.599 0.198 0.750
Si2 0.401 0.802 0.250
Ge1 0.151 0.302 0.433
Ge2 0.849 0.698 0.933
Ge3 0.151 0.302 0.067
Ge4 0.849 0.698 0.567


Record 5
Computed, not measured: a geometry-optimized Th6SiGe5 structure at the PBE level of DFT.

Results
Space-group type: C2/m (12)
Uncorrected energy, eV/f.u.: -82.02

abc: 7.440 7.441 7.438
angles: 59.98 80.41 70.54
Sites, in units of the cell vectors:
Si1 0.000 0.000 0.000
Ge1 0.500 0.167 0.666
Ge2 0.000 0.333 0.333
Ge3 0.500 0.500 0.000
Ge4 0.000 0.667 0.667
Ge5 0.500 0.833 0.334
Th1 0.751 0.083 0.332
Th2 0.249 0.586 0.332
Th3 0.249 0.248 0.000
Th4 0.751 0.752 0.000
Th5 0.751 0.414 0.668
Th6 0.249 0.917 0.668


Record 6
Computed, not measured: a geometry-optimized ThSiGe2 structure at the PBE level of DFT.

Results
Space-group type: P4/mmm (123)
Uncorrected energy, eV/f.u.: -23.62

abc: 4.386 4.339 4.339
angles: 90.00 90.00 90.00
Sites, in units of the cell vectors:
Ge1 0.000 0.000 0.500
Ge2 0.000 0.500 0.000
Si1 0.500 0.500 0.500
Th1 0.500 0.000 0.000


Record 7
Computed, not measured: a geometry-optimized Th4SiGe structure at the PBE level of DFT.

Results
E above lowest polymorph, meV/atom: 6
Space-group type: I422 (97)
Uncorrected energy, eV/f.u.: -43.03

abc: 6.031 6.031 6.031
angles: 104.65 104.65 119.62
Sites, in units of the cell vectors:
Th1 0.085 0.585 0.170
Th2 0.415 0.915 0.830
Th3 0.915 0.085 0.500
Th4 0.585 0.415 0.500
Si1 0.500 0.500 0.000
Ge1 0.000 0.000 0.000


Record 8
Computed, not measured: a geometry-optimized Th4SiGe3 structure at the PBE level of DFT.

Results
Space-group type: Pm-3m (221)
Uncorrected energy, eV/f.u.: -54.87

abc: 6.070 6.070 6.070
angles: 90.00 90.00 90.00
Sites, in units of the cell vectors:
Th1 0.500 0.000 0.000
Th2 0.000 0.500 0.000
Th3 0.000 0.000 0.500
Th4 0.500 0.500 0.500
Si1 0.000 0.000 0.000
Ge1 0.000 0.500 0.500
Ge2 0.500 0.000 0.500
Ge3 0.500 0.500 0.000


Among the records above, which one has the highest uncorrected energy? ThSiGe2